# 1
Computed, not measured: a geometry-optimized BeWCl2 structure at the PBE level of DFT.

Unit cell a=4.173 b=2.907 c=5.423 alpha=104.18 beta=90.00 gamma=90.00
Sites, in units of the cell vectors:
Cl  0.000  0.373  0.505
Cl  0.000  0.127  0.995
Be  0.500  0.750  0.750
W  0.500  0.250  0.250

Properties
crystal system	monoclinic
raw total energy	-4.554	eV/atom

# 2
Computed, not measured: a geometry-optimized Tl2SbMo structure at the PBE level of DFT.

Unit cell a=4.888 b=6.381 c=3.534 alpha=74.46 beta=88.64 gamma=112.12
Last column: magnetic moment on the atom in μB.
Sites, in units of the cell vectors:
Tl  0.500  0.000  0.500  -0.01
Tl  0.000  0.000  0.000  -0.01
Mo  0.000  0.500  0.500  1.77
Sb  0.500  0.500  0.000  -0.03

Properties
crystal system	monoclinic
raw total energy	-4.215	eV/atom

no.,Fermi-level density of states (states/eV/atom),ΔE_f (raw) (eV/atom)
1,0.289,0.5393
2,0.799,0.7067